Below is an optimized crystal structure of SmHoAgRh, with properties calculated at the PBE-GGA level.

Output
* distance to the lowest polymorph of the same formula: 26 meV/atom
* DFT formation energy: -0.532 eV per atom
* crystal system: cubic
* symmetry: No. 216

abc: 5.028 5.028 5.028
angles: 60.00 60.00 60.00
Fractional positions:
Sm 0.000 0.000 0.000
Ho 0.500 0.500 0.500
Ag 0.250 0.250 0.250
Rh 0.750 0.750 0.750